[1]
Density functional theory data (GGA-PBE) for TmNpGe2 after structural relaxation.

a b c (Å): 3.2722 3.2722 8.0384
angles (deg): 90.00 90.00 90.00
Fractional coordinates of all 4 atoms:
Tm 0.0000 0.0000 0.0000
Np 0.0000 0.0000 0.5000
Ge 0.5000 0.5000 0.2471
Ge 0.5000 0.5000 0.7529

Results
VASP energy ... -7.02 eV per atom
SG ... P4/mmm
Formation enthalpy at 0 K ... -0.363 eV/atom
Size of the total moment ... 4.25 μB per cell
Mass density ... 10.6 g/cm³



[2]
Density functional theory data (GGA-PBE) for Nd2MgOsC after structural relaxation.

a b c (Å): 5.2598 5.2598 3.9460
angles (deg): 90.00 90.00 90.00
Fractional coordinates of all 5 atoms:
Nd 0.0000 0.5000 0.0000
Nd 0.5000 0.0000 0.0000
Mg 0.0000 0.0000 0.5000
Os 0.5000 0.5000 0.5000
C 0.5000 0.5000 0.0000

Results
VASP energy ... -6.52 eV per atom
SG ... P4/mmm
Formation enthalpy at 0 K ... -0.199 eV/atom
Size of the total moment ... 0.00 μB per cell
Mass density ... 7.8 g/cm³



[3]
Density functional theory data (GGA-PBE) for LaSbAu3 after structural relaxation.

a b c (Å): 5.5398 5.5398 5.5398
angles (deg): 90.00 90.00 90.00
Fractional coordinates of all 5 atoms:
La 0.0000 0.0000 0.0000
Sb 0.5000 0.5000 0.5000
Au 0.0000 0.0000 0.5000
Au 0.0000 0.5000 0.0000
Au 0.5000 0.0000 0.0000

Results
VASP energy ... -3.25 eV per atom
SG ... Pm-3m
Size of the total moment ... 0.00 μB per cell
Energy relative to the elements, uncorrected ... 0.531 eV/atom
Mass density ... 8.3 g/cm³



[4]
Density functional theory data (GGA-PBE) for DyY2ScS6 after structural relaxation.

a b c (Å): 7.2479 7.2479 7.2479
angles (deg): 56.06 56.06 56.06
Fractional coordinates of all 10 atoms:
Dy 0.0000 0.0000 0.0000
Y 0.2969 0.2969 0.2969
Y 0.7996 0.7996 0.7996
Sc 0.4963 0.4963 0.4963
S 0.1112 0.7010 0.3956
S 0.2199 0.6027 0.8775
S 0.3956 0.1112 0.7010
S 0.6027 0.8775 0.2199
S 0.7010 0.3956 0.1112
S 0.8775 0.2199 0.6027

Results
VASP energy ... -6.87 eV per atom
SG ... R3
Size of the total moment ... 0.00 μB per cell
Energy relative to the elements, uncorrected ... -2.009 eV/atom
Mass density ... 3.9 g/cm³



[5]
Density functional theory data (GGA-PBE) for LaPm2Er9 after structural relaxation.

a b c (Å): 5.0259 5.0259 15.0665
angles (deg): 90.00 90.00 90.00
Fractional coordinates of all 12 atoms:
La 0.0000 0.0000 0.0000
Pm 0.0000 0.0000 0.3335
Pm 0.0000 0.0000 0.6665
Er 0.0000 0.5000 0.1690
Er 0.0000 0.5000 0.5000
Er 0.0000 0.5000 0.8310
Er 0.5000 0.0000 0.1690
Er 0.5000 0.0000 0.5000
Er 0.5000 0.0000 0.8310
Er 0.5000 0.5000 0.0000
Er 0.5000 0.5000 0.3346
Er 0.5000 0.5000 0.6654

Results
VASP energy ... -4.60 eV per atom
SG ... P4/mmm
Formation enthalpy at 0 K ... 0.028 eV/atom
Size of the total moment ... 0.00 μB per cell
Mass density ... 8.4 g/cm³



[6]
Density functional theory data (GGA-PBE) for Er2BeGeC after structural relaxation.

a b c (Å): 6.3061 3.7019 7.8954
angles (deg): 90.00 107.93 90.00
Fractional coordinates of all 10 atoms:
Er 0.1986 0.2500 0.3852
Er 0.2145 0.2500 0.9669
Er 0.7855 0.7500 0.0331
Er 0.8014 0.7500 0.6148
Be 0.4543 0.7500 0.2464
Be 0.5457 0.2500 0.7536
Ge 0.3217 0.7500 0.7001
Ge 0.6783 0.2500 0.2999
C 0.1740 0.7500 0.1736
C 0.8260 0.2500 0.8264

Results
VASP energy ... -5.94 eV per atom
SG ... P2_1/m
Formation enthalpy at 0 K ... -0.598 eV/atom
Size of the total moment ... 0.00 μB per cell
Mass density ... 8.1 g/cm³



[7]
Density functional theory data (GGA-PBE) for LaSiOs3 after structural relaxation.

a b c (Å): 4.8645 4.8645 4.8645
angles (deg): 90.00 90.00 90.00
Fractional coordinates of all 5 atoms:
La 0.0000 0.0000 0.0000
Si 0.5000 0.5000 0.5000
Os 0.0000 0.0000 0.5000
Os 0.0000 0.5000 0.0000
Os 0.5000 0.0000 0.0000

Results
VASP energy ... -5.79 eV per atom
SG ... Pm-3m
Size of the total moment ... 0.01 μB per cell
Energy relative to the elements, uncorrected ... 3.017 eV/atom
Mass density ... 10.6 g/cm³



[8]
Density functional theory data (GGA-PBE) for CrInPt3 after structural relaxation.

a b c (Å): 4.9240 4.9240 4.9240
angles (deg): 90.00 90.00 90.00
Fractional coordinates of all 5 atoms:
Cr 0.0000 0.0000 0.0000
In 0.5000 0.5000 0.5000
Pt 0.0000 0.5000 0.5000
Pt 0.5000 0.0000 0.5000
Pt 0.5000 0.5000 0.0000

Results
VASP energy ... -4.95 eV per atom
SG ... Pm-3m
Formation enthalpy at 0 K ... 1.143 eV/atom
Size of the total moment ... 4.61 μB per cell
Mass density ... 10.5 g/cm³



[9]
Density functional theory data (GGA-PBE) for AlCd2Se after structural relaxation.

a b c (Å): 2.8952 5.3610 5.7842
angles (deg): 91.21 90.08 90.04
Fractional coordinates of all 4 atoms:
Al 0.0000 0.0000 0.0000
Cd 0.5000 0.5000 0.0000
Cd 0.5000 0.5000 0.5000
Se 0.0000 0.0000 0.5000

Results
VASP energy ... -2.20 eV per atom
SG ... P-1
Size of the total moment ... 0.00 μB per cell
Energy relative to the elements, uncorrected ... 0.063 eV/atom
Mass density ... 6.1 g/cm³



[10]
Density functional theory data (GGA-PBE) for PuPa4Pt4 after structural relaxation.

a b c (Å): 8.1725 8.1725 6.1901
angles (deg): 90.00 90.00 90.00
Fractional coordinates of all 18 atoms:
Pu 0.2500 0.7500 0.2500
Pu 0.7500 0.2500 0.7500
Pa 0.0219 0.2500 0.5792
Pa 0.2500 0.0219 0.0792
Pa 0.2500 0.4781 0.0792
Pa 0.4781 0.2500 0.5792
Pa 0.5219 0.7500 0.4208
Pa 0.7500 0.5219 0.9208
Pa 0.7500 0.9781 0.9208
Pa 0.9781 0.7500 0.4208
Pt 0.0080 0.7500 0.8922
Pt 0.2500 0.5080 0.6078
Pt 0.2500 0.9920 0.6078
Pt 0.4920 0.7500 0.8922
Pt 0.5080 0.2500 0.1078
Pt 0.7500 0.0080 0.3922
Pt 0.7500 0.4920 0.3922
Pt 0.9920 0.2500 0.1078

Results
VASP energy ... -9.14 eV per atom
SG ... P4_2/nmc
Formation enthalpy at 0 K ... -0.645 eV/atom
Size of the total moment ... 5.15 μB per cell
Mass density ... 15.7 g/cm³



[11]
Density functional theory data (GGA-PBE) for SrTa2Pb after structural relaxation.

a b c (Å): 3.5957 3.5957 7.9143
angles (deg): 90.00 90.00 90.00
Fractional coordinates of all 4 atoms:
Sr 0.0000 0.0000 0.0000
Ta 0.0000 0.0000 0.4472
Ta 0.5000 0.5000 0.3078
Pb 0.5000 0.5000 0.6879

Results
VASP energy ... -6.98 eV per atom
SG ... P4mm
Formation enthalpy at 0 K ... 0.293 eV/atom
Size of the total moment ... 0.00 μB per cell
Mass density ... 10.7 g/cm³



[12]
Density functional theory data (GGA-PBE) for RbReNi after structural relaxation.

a b c (Å): 4.1891 3.8368 11.6903
angles (deg): 90.00 92.87 90.00
Fractional coordinates of all 6 atoms:
Rb 0.2192 0.2500 0.2892
Rb 0.7808 0.7500 0.7108
Re 0.1929 0.7500 0.0051
Re 0.8071 0.2500 0.9949
Ni 0.3160 0.2500 0.8836
Ni 0.6840 0.7500 0.1164

Results
VASP energy ... -5.76 eV per atom
SG ... P2_1/m
Formation enthalpy at 0 K ... 0.635 eV/atom
Size of the total moment ... 0.00 μB per cell
Mass density ... 5.8 g/cm³